1.
Na2Mn2O3 (PBE+U, relaxed); relative energy among the computed polymorphs = 0.000 eV/atom; Fermi-level density of states = 0.51 states/eV per cell; size of the total moment = 40.000 μB/cell
1.0
6.494 0.002 0.000
-0.002 6.494 0.000
0.000 0.000 9.607
Na O Mn
8 12 8
Direct
0.519 0.743 0.362
0.257 0.481 0.138
0.018 0.757 0.888
0.982 0.243 0.388
0.757 0.018 0.112
0.243 0.982 0.612
0.743 0.519 0.638
0.481 0.257 0.862
0.755 0.499 0.897
0.193 0.193 0.000
0.807 0.807 0.500
0.255 0.001 0.353
0.501 0.245 0.603
0.745 0.999 0.853
0.499 0.755 0.103
0.307 0.694 0.750
0.999 0.745 0.147
0.693 0.307 0.250
0.245 0.501 0.397
0.001 0.255 0.647
0.248 0.459 0.617
0.252 0.959 0.133
0.541 0.752 0.883
0.959 0.252 0.867
0.752 0.541 0.117
0.041 0.748 0.367
0.459 0.248 0.383
0.748 0.041 0.633

***

2.
NaMnO2 (PBE+U, relaxed); relative energy among the computed polymorphs = 0.435 eV/atom; Fermi-level density of states = 1.15 states/eV per cell; size of the total moment = 2.000 μB/cell
1.0
2.946 0.000 0.000
1.473 2.551 0.000
1.473 0.850 5.495
Na O Mn
1 2 1
Direct
0.497 0.497 0.508
0.269 0.269 0.193
0.066 0.066 0.802
0.668 0.668 0.997

***

3.
NaMn2O (PBE+U, relaxed); relative energy among the computed polymorphs = 0.886 eV/atom; Fermi-level density of states = 3.37 states/eV per cell; size of the total moment = 9.027 μB/cell
1.0
0.000 3.245 3.245
3.245 0.000 3.245
3.245 3.245 0.000
Na O Mn
1 1 2
Direct
0.500 0.500 0.500
0.000 0.000 0.000
0.250 0.250 0.250
0.750 0.750 0.750

***

4.
Na4Mn2O5 (PBE+U, relaxed); DFT total energy = -124.2 eV/cell; size of the total moment = 16.000 μB/cell
1.0
11.047 0.000 0.000
8.947 5.227 0.000
2.100 -1.961 4.846
Na O Mn
8 10 4
Direct
0.654 0.166 0.344
0.166 0.654 0.836
0.836 0.344 0.166
0.596 0.084 0.906
0.084 0.596 0.414
0.906 0.414 0.596
0.414 0.906 0.084
0.344 0.836 0.654
0.067 0.067 0.433
0.935 0.935 0.565
0.315 0.315 0.685
0.685 0.685 0.315
0.565 0.565 0.935
0.817 0.817 0.183
0.750 0.750 0.750
0.433 0.433 0.067
0.183 0.183 0.817
0.500 0.500 0.500
0.530 0.970 0.530
0.720 0.280 0.720
0.280 0.720 0.280
0.970 0.530 0.970

***

5.
NaMnO2 (PBE+U, relaxed); relative energy among the computed polymorphs = 0.101 eV/atom; Fermi-level density of states = 1.22 states/eV per cell; size of the total moment = 8.000 μB/cell
1.0
-2.125 3.189 -2.292
2.230 -1.164 -3.689
-1.027 -5.052 -1.728
O Mn Na
4 2 2
Direct
0.342 0.908 0.686
0.655 0.095 0.312
0.905 0.345 0.812
0.092 0.658 0.186
0.873 0.877 0.749
0.123 0.127 0.249
0.623 0.627 0.249
0.373 0.377 0.749

***

6.
NaMn2O4 (PBE+U, relaxed); relative energy among the computed polymorphs = 0.030 eV/atom; size of the total moment = 28.000 μB/cell
1.0
4.243 -4.605 0.000
4.243 4.605 0.000
0.000 0.000 8.427
Na O Mn
4 16 8
Direct
0.272 0.272 0.000
0.728 0.728 0.500
0.755 0.245 0.750
0.245 0.755 0.250
0.014 0.775 0.647
0.465 0.239 0.607
0.535 0.761 0.107
0.761 0.957 0.893
0.563 0.224 0.140
0.775 0.014 0.353
0.239 0.465 0.393
0.225 0.986 0.853
0.043 0.239 0.607
0.437 0.776 0.640
0.224 0.563 0.860
0.986 0.225 0.147
0.957 0.761 0.107
0.239 0.043 0.393
0.761 0.535 0.893
0.776 0.437 0.360
0.761 0.991 0.127
0.491 0.764 0.877
0.764 0.491 0.123
0.009 0.239 0.373
0.509 0.236 0.377
0.991 0.761 0.873
0.236 0.509 0.623
0.239 0.009 0.627

***

size of the total moment of number 3 (NaMn2O)?
9.027 μB/cell

***

Which formula does entry 1 have?
Na2Mn2O3

***

What is the size of the total moment in the sixth record?
28.000 μB/cell